# NbZnCo2 PBE relaxed
# Energy of formation in kcal/mol of atoms: 7.7
# Size of the total moment in μB/atom: 0.663
data_NbZnCo2
_symmetry_space_group_name_H-M 'P 63/m m c'
_symmetry_Int_Tables_number 194
_symmetry_space_group_name_Hall '-P 6c 2c'
_cell_length_a 4.3421
_cell_length_b 4.3421
_cell_length_c 6.8849
_cell_angle_alpha 90.00
_cell_angle_beta 90.00
_cell_angle_gamma 120.00
loop_
_atom_site_label
_atom_site_fract_x
_atom_site_fract_y
_atom_site_fract_z
_atom_site_occupancy
Nb1 0.0000 0.0000 0.2500 1
Zn1 0.3333 0.6667 0.2500 1
Co1 0.3333 0.6667 0.5892 1


# NbZn2Co PBE relaxed
# Energy of formation in kcal/mol of atoms: -1.9
# Polymorph energy (0 for the lowest one) in meV per atom: 0
# Size of the total moment in μB/atom: 0.001
data_NbZn2Co
_symmetry_space_group_name_H-M 'F -4 3 m'
_symmetry_Int_Tables_number 216
_symmetry_space_group_name_Hall 'F -4 2 3'
_cell_length_a 6.050
_cell_length_b 6.050
_cell_length_c 6.050
_cell_angle_alpha 90.00
_cell_angle_beta 90.00
_cell_angle_gamma 90.00
loop_
_atom_site_label
_atom_site_fract_x
_atom_site_fract_y
_atom_site_fract_z
_atom_site_occupancy
Nb1 0.000 0.000 0.000 1
Zn1 0.000 0.000 0.500 1
Zn2 0.250 0.250 0.750 1
Co1 0.250 0.250 0.250 1


# Nb2ZnCo PBE relaxed
# Energy of formation in kcal/mol of atoms: 5.2
# Size of the total moment in μB/atom: 0.678
data_Nb2ZnCo
_symmetry_space_group_name_H-M 'F -4 3 m'
_symmetry_Int_Tables_number 216
_symmetry_space_group_name_Hall 'F -4 2 3'
_cell_length_a 6.286
_cell_length_b 6.286
_cell_length_c 6.286
_cell_angle_alpha 90.00
_cell_angle_beta 90.00
_cell_angle_gamma 90.00
loop_
_atom_site_label
_atom_site_fract_x
_atom_site_fract_y
_atom_site_fract_z
_atom_site_occupancy
Nb1 0.000 0.000 0.000 1
Nb2 0.250 0.250 0.250 1
Zn1 0.000 0.000 0.500 1
Co1 0.250 0.250 0.750 1


# NbZnCo2 PBE relaxed
# Energy of formation in kcal/mol of atoms: 2.7
# Size of the total moment in μB/atom: 0.668
data_NbZnCo2
_symmetry_space_group_name_H-M 'F -4 3 m'
_symmetry_Int_Tables_number 216
_symmetry_space_group_name_Hall 'F -4 2 3'
_cell_length_a 5.982
_cell_length_b 5.982
_cell_length_c 5.982
_cell_angle_alpha 90.00
_cell_angle_beta 90.00
_cell_angle_gamma 90.00
loop_
_atom_site_label
_atom_site_fract_x
_atom_site_fract_y
_atom_site_fract_z
_atom_site_occupancy
Nb1 0.000 0.000 0.000 1
Zn1 0.250 0.250 0.250 1
Co1 0.000 0.000 0.500 1
Co2 0.250 0.250 0.750 1


# NbZnCo2 PBE relaxed
# Energy of formation in kcal/mol of atoms: -2.6
# Size of the total moment in μB/atom: 0.000
data_NbZnCo2
_symmetry_space_group_name_H-M 'P 4/m m m'
_symmetry_Int_Tables_number 123
_symmetry_space_group_name_Hall '-P 4 2'
_cell_length_a 3.075
_cell_length_b 3.075
_cell_length_c 5.554
_cell_angle_alpha 90.00
_cell_angle_beta 90.00
_cell_angle_gamma 90.00
loop_
_atom_site_label
_atom_site_fract_x
_atom_site_fract_y
_atom_site_fract_z
_atom_site_occupancy
Nb1 0.000 0.000 0.000 1
Zn1 0.000 0.000 0.500 1
Co1 0.500 0.500 0.252 1


# NbZn2Co PBE relaxed
# Energy of formation in kcal/mol of atoms: 2.6
# Polymorph energy (0 for the lowest one) in meV per atom: 194
# Size of the total moment in μB/atom: 0.077
data_NbZn2Co
_symmetry_space_group_name_H-M 'F m -3 m'
_symmetry_Int_Tables_number 225
_symmetry_space_group_name_Hall '-F 4 2 3'
_cell_length_a 6.064
_cell_length_b 6.064
_cell_length_c 6.064
_cell_angle_alpha 90.00
_cell_angle_beta 90.00
_cell_angle_gamma 90.00
loop_
_atom_site_label
_atom_site_fract_x
_atom_site_fract_y
_atom_site_fract_z
_atom_site_occupancy
Nb1 0.000 0.000 0.000 1
Zn1 0.250 0.250 0.250 1
Co1 0.000 0.000 0.500 1


# NbZnCo2 PBE relaxed
# Energy of formation in kcal/mol of atoms: -0.2
# Size of the total moment in μB/atom: 0.283
data_NbZnCo2
_symmetry_space_group_name_H-M 'P 63/m m c'
_symmetry_Int_Tables_number 194
_symmetry_space_group_name_Hall '-P 6c 2c'
_cell_length_a 4.1578
_cell_length_b 4.1578
_cell_length_c 7.2388
_cell_angle_alpha 90.00
_cell_angle_beta 90.00
_cell_angle_gamma 120.00
loop_
_atom_site_label
_atom_site_fract_x
_atom_site_fract_y
_atom_site_fract_z
_atom_site_occupancy
Nb1 0.0000 0.0000 0.0000 1
Zn1 0.3333 0.6667 0.2500 1
Co1 0.3333 0.6667 0.5957 1


# NbZnCo2 PBE relaxed
# Energy of formation in kcal/mol of atoms: -1.4
# Size of the total moment in μB/atom: 0.001
data_NbZnCo2
_symmetry_space_group_name_H-M 'I m m a'
_symmetry_Int_Tables_number 74
_symmetry_space_group_name_Hall '-I 2b 2'
_cell_length_a 5.623
_cell_length_b 6.557
_cell_length_c 5.624
_cell_angle_alpha 90.00
_cell_angle_beta 90.00
_cell_angle_gamma 90.00
loop_
_atom_site_label
_atom_site_fract_x
_atom_site_fract_y
_atom_site_fract_z
_atom_site_occupancy
Nb1 0.000 0.250 0.001 1
Zn1 0.000 0.250 0.500 1
Co1 0.250 0.001 0.750 1